Entry from Alexandria via LeMat-Bulk: an optimized crystal structure of Nd6CdSi2 (PBE-GGA).

Results
Its crystal system is orthorhombic. As for the uncorrected formation energy: -3.77 eV per formula unit.

Structure (CIF):
```
data_Nd6CdSi2
_cell_length_a 8.824
_cell_length_b 8.824
_cell_length_c 8.824
_cell_angle_alpha 111.17
_cell_angle_beta 110.33
_cell_angle_gamma 106.94
_symmetry_space_group_name_H-M 'P 1'
_symmetry_Int_Tables_number 1
loop_
_symmetry_equiv_pos_as_xyz
'x,y,z'
loop_
_atom_site_label
_atom_site_type_symbol
_atom_site_fract_x
_atom_site_fract_y
_atom_site_fract_z
_atom_site_occupancy
Nd1 Nd 0.041 0.246 0.795 1
Nd2 Nd 0.179 0.275 0.454 1
Nd3 Nd 0.179 0.725 0.905 1
Nd4 Nd 0.323 0.026 0.704 1
Nd5 Nd 0.323 0.619 0.296 1
Nd6 Nd 0.450 0.246 0.205 1
Nd7 Nd 0.550 0.754 0.795 1
Nd8 Nd 0.677 0.381 0.704 1
Nd9 Nd 0.677 0.974 0.296 1
Nd10 Nd 0.821 0.275 0.095 1
Nd11 Nd 0.821 0.725 0.546 1
Nd12 Nd 0.959 0.754 0.205 1
Cd1 Cd 0.000 0.000 0.000 1
Cd2 Cd 0.500 0.500 0.000 1
Si1 Si 0.114 0.614 0.500 1
Si2 Si 0.366 0.000 0.366 1
Si3 Si 0.634 0.000 0.634 1
Si4 Si 0.886 0.386 0.500 1
```



Entry from Alexandria via LeMat-Bulk: an optimized crystal structure of BaAc3Au2 (PBE-GGA).

Results
The energy of formation comes out at -0.422 eV per atom. Its crystal system is monoclinic.

Structure (CIF):
```
data_BaAc3Au2
_cell_length_a 9.129
_cell_length_b 9.129
_cell_length_c 9.627
_cell_angle_alpha 112.20
_cell_angle_beta 112.20
_cell_angle_gamma 37.03
_symmetry_space_group_name_H-M 'P 1'
_symmetry_Int_Tables_number 1
loop_
_symmetry_equiv_pos_as_xyz
'x,y,z'
loop_
_atom_site_label
_atom_site_type_symbol
_atom_site_fract_x
_atom_site_fract_y
_atom_site_fract_z
_atom_site_occupancy
Ba1 Ba 0.147 0.147 0.231 1
Ba2 Ba 0.853 0.853 0.769 1
Ac1 Ac 0.063 0.063 0.726 1
Ac2 Ac 0.319 0.319 0.990 1
Ac3 Ac 0.378 0.378 0.497 1
Ac4 Ac 0.622 0.622 0.503 1
Ac5 Ac 0.681 0.681 0.010 1
Ac6 Ac 0.937 0.937 0.274 1
Au1 Au 0.217 0.217 0.626 1
Au2 Au 0.485 0.485 0.841 1
Au3 Au 0.515 0.515 0.159 1
Au4 Au 0.783 0.783 0.374 1
```



Entry from Alexandria via LeMat-Bulk: an optimized crystal structure of Dy2TmSc3As6 (PBE-GGA).

Results
The energy of formation comes out at -1.440 eV per atom. Its crystal system is monoclinic.

Structure (CIF):
```
data_Dy2TmSc3As6
_cell_length_a 6.921
_cell_length_b 6.921
_cell_length_c 6.900
_cell_angle_alpha 99.61
_cell_angle_beta 99.61
_cell_angle_gamma 120.00
_symmetry_space_group_name_H-M 'P 1'
_symmetry_Int_Tables_number 1
loop_
_symmetry_equiv_pos_as_xyz
'x,y,z'
loop_
_atom_site_label
_atom_site_type_symbol
_atom_site_fract_x
_atom_site_fract_y
_atom_site_fract_z
_atom_site_occupancy
Dy1 Dy 0.166 0.834 0.000 1
Dy2 Dy 0.834 0.166 0.000 1
Tm1 Tm 0.500 0.500 0.000 1
Sc1 Sc 0.000 0.000 0.500 1
Sc2 Sc 0.333 0.667 0.500 1
Sc3 Sc 0.667 0.333 0.500 1
As1 As 0.081 0.412 0.736 1
As2 As 0.257 0.257 0.264 1
As3 As 0.412 0.081 0.736 1
As4 As 0.588 0.919 0.264 1
As5 As 0.743 0.743 0.736 1
As6 As 0.919 0.588 0.264 1
```



Entry from Alexandria via LeMat-Bulk: an optimized crystal structure of MgAlCdW2 (PBE-GGA).

Results
The energy of formation comes out at 2.104 eV per atom. Its crystal system is tetragonal.

Structure (CIF):
```
data_MgAlCdW2
_cell_length_a 4.697
_cell_length_b 4.697
_cell_length_c 4.701
_cell_angle_alpha 90.00
_cell_angle_beta 90.00
_cell_angle_gamma 90.00
_symmetry_space_group_name_H-M 'P 1'
_symmetry_Int_Tables_number 1
loop_
_symmetry_equiv_pos_as_xyz
'x,y,z'
loop_
_atom_site_label
_atom_site_type_symbol
_atom_site_fract_x
_atom_site_fract_y
_atom_site_fract_z
_atom_site_occupancy
Mg1 Mg 0.000 0.000 0.000 1
Al1 Al 0.500 0.500 0.500 1
Cd1 Cd 0.000 0.000 0.500 1
W1 W 0.000 0.500 0.000 1
W2 W 0.500 0.000 0.000 1
```



| no. | total magnetic moment (μB/cell) |
| --- | --- |
| 1 | 0.00 |
| 2 | 0.00 |
| 3 | 0.00 |
| 4 | 1.12 |